Record 1
{"formula": "LaTaBi2O7", "functional": "meta-GGA SCAN", "state": "single point on PBEsol structure", "formation_energy_uncorrected_ev_per_fu": -26.0, "spacegroup": "No. 74", "lattice": [[-3.812, 3.887, 5.481], [3.812, -3.887, 5.481], [3.812, 3.887, -5.481]], "species": ["La", "La", "Ta", "Ta", "Bi", "Bi", "Bi", "Bi", "O", "O", "O", "O", "O", "O", "O", "O", "O", "O", "O", "O", "O", "O"], "frac_coords": [[0.500, 0.000, 0.000], [0.500, 0.500, 0.500], [0.000, 0.000, 0.000], [0.500, 0.000, 0.500], [0.000, 0.000, 0.500], [0.000, 0.500, 0.000], [0.000, 0.500, 0.500], [0.500, 0.500, 0.000], [0.114, 0.316, 0.182], [0.114, 0.931, 0.797], [0.120, 0.370, 0.750], [0.277, 0.027, 0.250], [0.366, 0.069, 0.682], [0.366, 0.684, 0.297], [0.379, 0.629, 0.750], [0.621, 0.371, 0.250], [0.634, 0.316, 0.703], [0.634, 0.931, 0.318], [0.723, 0.973, 0.750], [0.880, 0.630, 0.250], [0.886, 0.069, 0.203], [0.886, 0.684, 0.818]]}

***

Record 2
{"formula": "LaTi3Bi3O12", "functional": "meta-GGA SCAN", "state": "single point on PBEsol structure", "formation_energy_uncorrected_ev_per_fu": -49.3, "spacegroup": "No. 7", "lattice": [[16.708, 0.000, 0.000], [0.000, 5.382, 0.000], [-0.835, 0.000, 5.330]], "species": ["La", "La", "Ti", "Ti", "Ti", "Ti", "Ti", "Ti", "Bi", "Bi", "Bi", "Bi", "Bi", "Bi", "O", "O", "O", "O", "O", "O", "O", "O", "O", "O", "O", "O", "O", "O", "O", "O", "O", "O", "O", "O", "O", "O", "O", "O"], "frac_coords": [[0.000, 0.246, 0.000], [0.000, 0.754, 0.500], [0.126, 0.252, 0.559], [0.126, 0.748, 0.059], [0.613, 0.251, 0.300], [0.613, 0.749, 0.800], [0.870, 0.253, 0.421], [0.870, 0.747, 0.921], [0.292, 0.270, 0.088], [0.292, 0.730, 0.588], [0.448, 0.230, 0.663], [0.448, 0.770, 0.163], [0.737, 0.252, 0.816], [0.737, 0.748, 0.316], [0.091, 0.497, 0.292], [0.091, 0.503, 0.792], [0.109, 0.007, 0.809], [0.109, 0.993, 0.309], [0.232, 0.300, 0.618], [0.232, 0.700, 0.118], [0.368, 0.005, 0.890], [0.368, 0.995, 0.390], [0.371, 0.495, 0.391], [0.371, 0.505, 0.891], [0.508, 0.191, 0.252], [0.508, 0.809, 0.752], [0.621, 0.447, 0.620], [0.621, 0.553, 0.120], [0.649, 0.032, 0.051], [0.649, 0.968, 0.551], [0.751, 0.321, 0.400], [0.751, 0.679, 0.900], [0.856, 0.049, 0.131], [0.856, 0.951, 0.631], [0.883, 0.449, 0.744], [0.883, 0.551, 0.244], [0.984, 0.204, 0.488], [0.984, 0.796, 0.988]]}

***

Record 3
{"formula": "LaV2BiO8", "functional": "meta-GGA SCAN", "state": "single point on PBEsol structure", "formation_energy_uncorrected_ev_per_fu": -32.2, "spacegroup": "No. 119", "lattice": [[-3.680, 3.680, 3.224], [3.680, -3.680, 3.224], [3.680, 3.680, -3.224]], "species": ["La", "V", "V", "Bi", "O", "O", "O", "O", "O", "O", "O", "O"], "frac_coords": [[0.000, 0.000, 0.000], [0.250, 0.750, 0.500], [0.500, 0.500, 0.000], [0.750, 0.250, 0.500], [0.078, 0.400, 0.322], [0.078, 0.756, 0.678], [0.151, 0.332, 0.819], [0.244, 0.922, 0.322], [0.513, 0.332, 0.181], [0.600, 0.922, 0.678], [0.668, 0.487, 0.819], [0.668, 0.849, 0.181]]}

***

Record 4
{"formula": "La3BiOs", "functional": "meta-GGA SCAN", "state": "single point on PBEsol structure", "ef_mev_per_atom": -579, "spacegroup": "No. 221", "lattice": [[5.468, 0.000, 0.000], [0.000, 5.468, 0.000], [0.000, 0.000, 5.468]], "species": ["La", "La", "La", "Bi", "Os"], "frac_coords": [[0.000, 0.000, 0.500], [0.000, 0.500, 0.000], [0.500, 0.000, 0.000], [0.500, 0.500, 0.500], [0.000, 0.000, 0.000]]}

***

Record 5
{"formula": "LaBi3P", "functional": "meta-GGA SCAN", "state": "single point on PBEsol structure", "ef_mev_per_atom": 1041, "spacegroup": "No. 221", "lattice": [[6.046, 0.000, 0.000], [0.000, 6.046, 0.000], [0.000, 0.000, 6.046]], "species": ["La", "Bi", "Bi", "Bi", "P"], "frac_coords": [[0.000, 0.000, 0.000], [0.000, 0.000, 0.500], [0.000, 0.500, 0.000], [0.500, 0.000, 0.000], [0.500, 0.500, 0.500]]}

***

Record 6
{"formula": "RbLaBi2P", "functional": "meta-GGA SCAN", "state": "single point on PBEsol structure", "ef_mev_per_atom": 804, "spacegroup": "No. 123", "lattice": [[5.750, 0.000, 0.000], [0.000, 5.750, 0.000], [0.000, 0.000, 5.286]], "species": ["Rb", "La", "Bi", "Bi", "P"], "frac_coords": [[0.000, 0.000, 0.000], [0.500, 0.500, 0.500], [0.000, 0.500, 0.000], [0.500, 0.000, 0.000], [0.000, 0.000, 0.500]]}

***

Record 7
{"formula": "La3BiPb", "functional": "meta-GGA SCAN", "state": "single point on PBEsol structure", "ef_mev_per_atom": -241, "spacegroup": "No. 221", "lattice": [[5.949, 0.000, 0.000], [0.000, 5.949, 0.000], [0.000, 0.000, 5.949]], "species": ["La", "La", "La", "Bi", "Pb"], "frac_coords": [[0.000, 0.000, 0.500], [0.000, 0.500, 0.000], [0.500, 0.000, 0.000], [0.500, 0.500, 0.500], [0.000, 0.000, 0.000]]}

***

Record 8
{"formula": "La2BiPd2", "functional": "meta-GGA SCAN", "state": "single point on PBEsol structure", "ef_mev_per_atom": -1013, "spacegroup": "No. 127", "lattice": [[7.885, 0.000, 0.000], [0.000, 7.885, 0.000], [0.000, 0.000, 3.931]], "species": ["La", "La", "La", "La", "Bi", "Bi", "Pd", "Pd", "Pd", "Pd"], "frac_coords": [[0.178, 0.322, 0.000], [0.322, 0.822, 0.000], [0.678, 0.178, 0.000], [0.822, 0.678, 0.000], [0.000, 0.000, 0.500], [0.500, 0.500, 0.500], [0.123, 0.623, 0.500], [0.377, 0.123, 0.500], [0.623, 0.877, 0.500], [0.877, 0.377, 0.500]]}

***

| no. | total magnetic moment (μB/f.u.) | density of states at the Fermi level (states/eV per cell) |
| --- | --- | --- |
| 1 | 0.0 | 0.0 |
| 2 | 0.0 | 0.0 |
| 3 | 0.0 | 0.0 |
| 4 | 0.0 | 4.3 |
| 5 | 2.4 | 3.2 |
| 6 | 0.0 | 3.0 |
| 7 | 0.0 | 4.7 |
| 8 | 0.0 | 7.8 |